[1]
AlSbOs3 | meta-GGA SCAN | PBEsol geometry

Properties
* formation energy (no corrections): 236 kJ/mol of atoms
* spin magnetization: 0.0001 μB per atom

Cell lengths 4.728, 4.728, 4.728 Å; angles 90.00, 90.00, 90.00 degrees
Sites, in units of the cell vectors:
Al  0.000  0.000  0.000
Sb  0.500  0.500  0.500
Os  0.000  0.500  0.500
Os  0.500  0.000  0.500
Os  0.500  0.500  0.000


[2]
NaSn3Ge | meta-GGA SCAN | PBEsol geometry

Properties
* energy of formation from the pure elements: 0.360 eV/atom
* spin magnetization: 0.0000 μB per atom

Cell lengths 5.397, 5.397, 5.397 Å; angles 90.00, 90.00, 90.00 degrees
Sites, in units of the cell vectors:
Na  0.000  0.000  0.000
Sn  0.000  0.500  0.500
Sn  0.500  0.000  0.500
Sn  0.500  0.500  0.000
Ge  0.500  0.500  0.500


[3]
LaSc2Cd | meta-GGA SCAN | PBEsol geometry

Properties
* energy of formation from the pure elements: -0.164 eV/atom
* spin magnetization: 0.3652 μB per atom

Cell lengths 3.371, 3.371, 8.954 Å; angles 90.00, 90.00, 90.00 degrees
Sites, in units of the cell vectors:
La  0.000  0.000  0.000
Sc  0.000  0.000  0.526
Sc  0.500  0.500  0.292
Cd  0.500  0.500  0.733


no.,uncorrected energy (eV per atom)
1,-49.689
2,-25.854
3,-25.663